Material: SrAl2Ag2Pd
Method: DFT, PBE-GGA
State: optimized geometry

Calculated values
Volume in Å³/cell: 120.0
SG: Cmmm, No. 65
Total energy in Ha/atom: -0.1371

a b c (Å): 5.5436 5.5436 4.5378
angles (deg): 90.00 90.00 120.66
Closest atoms and distances in Å follow each position.
Element x y z (fractional)
1 Ag 0.6767 0.3233 0.5000  4 Al 2.74, 2 Pd 2.84
2 Sr 0.0000 0.0000 0.5000  6 Ag 3.11-3.23
3 Al 0.5000 0.0000 0.0000  4 Ag 2.74, 2 Al 2.74, 2 Pd 2.77
4 Al 0.0000 0.5000 0.0000  4 Ag 2.74, 2 Al 2.74, 2 Pd 2.77
5 Pd 0.5000 0.5000 0.0000  4 Al 2.77, 4 Ag 2.84
6 Ag 0.3233 0.6767 0.5000  4 Al 2.74, 2 Pd 2.84